Record 1
Compound: AcCeY2P4
Source: Alexandria via LeMat-Bulk
Functional: PBE
Structure: relaxed

As for the calculated volume: 202 Å³/cell. The calculation puts the theoretical density at 5.5 Mg/m³. The formation energy is -12.1 eV/f.u.

It has space group P2/m (No. 10), with a = 7.1734 Å, b = 4.1467 Å, c = 7.1939 Å, α = 90.00°, β = 109.40° and γ = 90.00°. Symmetry generates all atoms from Ac at (0.0000, 0.0000, 0.0000), Ce at (0.0000, 0.5000, 0.5000), Y at (0.5000, 0.0000, 0.5000), Y at (0.5000, 0.5000, 0.0000), P at (0.2595, 0.0000, 0.7440) and P at (0.2657, 0.5000, 0.2656).

=====

Record 2
Compound: Cs8HAu4Br3
Source: Alexandria via LeMat-Bulk
Functional: PBE
Structure: relaxed

As for the calculated volume: 2339 Å³/cell. The calculation puts the theoretical density at 4.5 Mg/m³. As for the total energy: -125.18 eV/cell.

It has space group R-3m (No. 166, hexagonal axes), with a = 10.3030 Å, b = 10.3030 Å, c = 25.4391 Å, α = 90.00°, β = 90.00° and γ = 120.00°. Symmetry generates all atoms from Cs at (0.0000, 0.0000, 0.2495), Cs at (0.0116, 0.5058, 0.2464), H at (0.0000, 0.0000, 0.5000), Au at (0.0000, 0.0000, 0.0000), Au at (0.0000, 0.5000, 0.0000) and Br at (0.0000, 0.5000, 0.5000).

=====

Record 3
Compound: Pm6Nd3Mg2
Source: Alexandria via LeMat-Bulk
Functional: PBE
Structure: relaxed

As for the calculated volume: 360 Å³/cell. The calculation puts the theoretical density at 6.2 Mg/m³. The formation energy is 0.2 eV/f.u.

It has space group P-1 (No. 2), with a = 6.2638 Å, b = 7.9626 Å, c = 8.0367 Å, α = 107.10°, β = 105.18° and γ = 97.43°. Symmetry generates all atoms from Pm at (0.0526, 0.4067, 0.1837), Pm at (0.1365, 0.2257, 0.5551), Pm at (0.3133, 0.8667, 0.2632), Nd at (0.4063, 0.6831, 0.6334), Nd at (0.5000, 0.5000, 0.0000) and Mg at (0.2286, 0.0456, 0.9088).